VASP calculation (PBE-GGA) on K4ScSi after structural relaxation. Values from VASP.

Output
The value obtained for the uncorrected formation energy is 0.848 eV/atom. As for the space-group type: F-43m, No. 216. As for the size of the total moment: 0.85 Bohr magnetons per cell. The value obtained for the density is 1.57 g/cm³. The calculation puts the volume at 40.4 Å³ per atom.

Quantum ESPRESSO input file:
```
&SYSTEM
  ibrav = 0, nat = 6, ntyp = 3
/
ATOMIC_SPECIES
K 39.10 K.upf
Sc 44.96 Sc.upf
Si 28.09 Si.upf
CELL_PARAMETERS angstrom
0.534 3.046 6.276
-4.409 -1.773 5.135
2.316 -3.673 5.486
ATOMIC_POSITIONS angstrom
K -0.310 0.654 9.492
K 0.596 -2.762 9.090
K -2.823 -1.796 8.912
K -0.581 -0.895 6.301
Sc -1.169 -1.800 12.673
Si 0.000 0.000 0.000
```


VASP calculation (PBE-GGA) on KScSi after structural relaxation. Values from VASP.

Output
The energy relative to the lowest polymorph listed for this composition is 355 meV per atom. The value obtained for the uncorrected formation energy is 0.073 eV/atom. As for the space-group type: Pnma, No. 62. As for the size of the total moment: 0.00 Bohr magnetons per cell. The value obtained for the density is 1.88 g/cm³. The calculation puts the volume at 33.1 Å³ per atom.

Quantum ESPRESSO input file:
```
&SYSTEM
  ibrav = 0, nat = 12, ntyp = 3
/
ATOMIC_SPECIES
Sc 44.96 Sc.upf
K 39.10 K.upf
Si 28.09 Si.upf
CELL_PARAMETERS angstrom
7.681 0.000 0.000
0.000 4.694 0.000
0.000 0.000 11.011
ATOMIC_POSITIONS angstrom
Sc 0.115 1.173 9.806
Sc 3.725 3.520 4.300
Sc 7.566 3.520 1.205
Sc 3.956 1.173 6.711
K 6.769 1.173 4.347
K 4.753 3.520 9.852
K 0.912 3.520 6.664
K 2.928 1.173 1.159
Si 2.485 1.173 4.501
Si 1.355 3.520 10.007
Si 5.196 3.520 6.510
Si 6.326 1.173 1.004
```


VASP calculation (PBE-GGA) on KSc2Si after structural relaxation. Values from VASP.

Output
The value obtained for the uncorrected formation energy is -0.018 eV/atom. As for the space-group type: C2/m, No. 12. As for the size of the total moment: 0.00 Bohr magnetons per cell. The value obtained for the density is 1.97 g/cm³. The calculation puts the volume at 33.1 Å³ per atom.

Quantum ESPRESSO input file:
```
&SYSTEM
  ibrav = 0, nat = 4, ntyp = 3
/
ATOMIC_SPECIES
K 39.10 K.upf
Sc 44.96 Sc.upf
Si 28.09 Si.upf
CELL_PARAMETERS angstrom
-2.028 -0.007 3.345
-3.876 -0.518 -0.071
-0.730 -10.033 1.897
ATOMIC_POSITIONS angstrom
K -1.658 -2.639 1.293
Sc -0.861 -8.928 1.803
Sc -3.186 -6.384 2.680
Si -4.975 -7.918 3.878
```


VASP calculation (PBE-GGA) on K2ScSi after structural relaxation. Values from VASP.

Output
The value obtained for the uncorrected formation energy is 0.492 eV/atom. As for the space-group type: Fmmm, No. 69. As for the size of the total moment: 0.95 Bohr magnetons per cell. The value obtained for the density is 2.16 g/cm³. The calculation puts the volume at 29.1 Å³ per atom.

Quantum ESPRESSO input file:
```
&SYSTEM
  ibrav = 0, nat = 4, ntyp = 3
/
ATOMIC_SPECIES
K 39.10 K.upf
Sc 44.96 Sc.upf
Si 28.09 Si.upf
CELL_PARAMETERS angstrom
-3.667 -1.033 -5.690
0.005 -3.536 5.865
-4.144 -0.383 1.234
ATOMIC_POSITIONS angstrom
K 0.000 0.000 0.000
K -1.831 -2.284 0.087
Sc -3.905 -0.708 -2.228
Si -2.069 -1.959 3.549
```